[1]
# BeAs2S (GGA-PBE, optimized geometry)
data_BeAs2S
_space_group_name_H-M_alt 'F m -3 m'
_space_group_IT_number 225
_space_group_name_Hall '-F 4 2 3'
_cell_length_a 6.359
_cell_length_b 6.359
_cell_length_c 6.359
_cell_angle_alpha 90.00
_cell_angle_beta 90.00
_cell_angle_gamma 90.00
loop_
_atom_site_label
_atom_site_type_symbol
_atom_site_fract_x
_atom_site_fract_y
_atom_site_fract_z
_atom_site_occupancy
Be1 Be 0.000 0.000 0.000 1
As1 As 0.250 0.250 0.250 1
S1 S 0.000 0.000 0.500 1
# **Calculated volume**: 16.1 A^3/atom
# **Energy above the most stable polymorph in this dataset**: 465.5 meV/atom
# **Magnetization**: 0.0 μB/cell
# **DOS(E_F)**: 8.2 states/eV/cell

---

[2]
# AcSiIr (GGA-PBE, optimized geometry)
data_AcSiIr
_space_group_name_H-M_alt 'P 21 3'
_space_group_IT_number 198
_space_group_name_Hall 'P 2ac 2ab 3'
_cell_length_a 6.556
_cell_length_b 6.556
_cell_length_c 6.556
_cell_angle_alpha 90.00
_cell_angle_beta 90.00
_cell_angle_gamma 90.00
loop_
_atom_site_label
_atom_site_type_symbol
_atom_site_fract_x
_atom_site_fract_y
_atom_site_fract_z
_atom_site_occupancy
Ac1 Ac 0.107 0.107 0.107 1
Si1 Si 0.095 0.595 0.905 1
Ir1 Ir 0.168 0.332 0.668 1
# **Calculated volume**: 23.5 A^3/atom
# **Energy above the most stable polymorph in this dataset**: 0.0 meV/atom
# **Magnetization**: 0.0 μB/cell
# **DOS(E_F)**: 7.5 states/eV/cell

---

[3]
# Cu2P8Se3Br2 (GGA-PBE, optimized geometry)
data_Cu2P8Se3Br2
_space_group_name_H-M_alt 'P b c m'
_space_group_IT_number 57
_cell_length_a 9.172
_cell_length_b 13.000
_cell_length_c 13.844
_cell_angle_alpha 90.00
_cell_angle_beta 90.00
_cell_angle_gamma 90.00
loop_
_space_group_symop_operation_xyz
'x,y,z'
'-x,-y,-z'
'-x,-y,z+1/2'
'x,y,-z+1/2'
'x,-y+1/2,-z'
'-x,y+1/2,z'
'-x,y+1/2,-z+1/2'
'x,-y+1/2,z+1/2'
loop_
_atom_site_label
_atom_site_type_symbol
_atom_site_fract_x
_atom_site_fract_y
_atom_site_fract_z
_atom_site_occupancy
Cu1 Cu 0.007 0.131 0.250 1
Cu2 Cu 0.195 0.582 0.750 1
P1 P 0.071 0.698 0.110 1
P2 P 0.179 0.579 0.021 1
P3 P 0.232 0.669 0.613 1
P4 P 0.447 0.745 0.580 1
Se1 Se 0.099 0.250 0.000 1
Se2 Se 0.394 0.586 0.106 1
Br1 Br 0.078 0.054 0.750 1
Br2 Br 0.275 0.100 0.250 1
# **Calculated volume**: 27.5 A^3/atom
# **Magnetization**: 0.0 μB/cell

---

Electronic total energy (computed, eV per atom): -3.58; -7.08; -4.53
Formation energy from raw total energies (computed, eV/atom): 0.711; -0.952; -0.178